1.
The following is a PBE calculation of CaAgW2 after structural relaxation, from Alexandria.

Cell: 5.7472 5.7472 5.7472 Å, 140.44 140.44 57.18°
Positions (direct):
Ca 0.2500 0.7500 0.5000
Ag 0.7500 0.2500 0.5000
W 0.0000 0.0000 0.0000
W 0.5000 0.5000 0.0000

Calculated values
calculated formation energy: 0.8312 eV per atom

=====

2.
The following is a PBE calculation of RbYH2S after structural relaxation, from Alexandria.

Cell: 4.5791 4.5791 5.2767 Å, 90.00 90.00 90.00°
Positions (direct):
Y 0.0000 0.0000 0.0000
H 0.0000 0.5000 0.0000
H 0.5000 0.0000 0.0000
S 0.0000 0.0000 0.5000
Rb 0.5000 0.5000 0.5000

Calculated values
E: -4.5227 eV/atom

=====

3.
The following is a PBE calculation of Ac5PmCd6 after structural relaxation, from Alexandria.

Cell: 5.7004 9.8732 9.8732 Å, 119.83 106.81 106.81°
Positions (direct):
Ac 0.5000 0.1710 0.8290
Ac 0.0000 0.3352 0.6648
Ac 0.5000 0.5000 0.5000
Ac 0.0000 0.6647 0.3352
Ac 0.5000 0.8290 0.1710
Cd 0.2398 0.0789 0.4004
Cd 0.7602 0.5996 0.9211
Cd 0.7301 0.2302 0.2302
Cd 0.2699 0.7698 0.7698
Cd 0.2398 0.4004 0.0789
Cd 0.7602 0.9211 0.5996
Pm 0.0000 0.0000 0.0000

Calculated values
calculated formation energy: -0.2926 eV per atom

=====

4.
The following is a PBE calculation of CdP3NO9 after structural relaxation, from Alexandria.

Cell: 7.0351 7.0351 10.4758 Å, 90.00 90.00 120.00°
Site moments in Bohr magnetons follow the coordinates.
Positions (direct):
Cd 0.0000 0.0000 0.0000  -0.01
Cd 0.0000 0.0000 0.5000  -0.01
P 0.7252 0.1221 0.2500  0.01
P 0.8779 0.6031 0.2500  0.01
P 0.7252 0.6031 0.7500  0.01
P 0.3969 0.2748 0.2500  0.01
P 0.8779 0.2748 0.7500  0.01
P 0.3969 0.1221 0.7500  0.01
N 0.3333 0.6667 0.0000  1.89
N 0.3333 0.6667 0.5000  1.89
O 0.2778 0.2516 0.1272  -0.11
O 0.7484 0.0262 0.1272  -0.11
O 0.2778 0.2516 0.3728  -0.11
O 0.2778 0.0262 0.6272  -0.11
O 0.9738 0.7222 0.1272  -0.11
O 0.7484 0.0262 0.3728  -0.11
O 0.7484 0.7222 0.6272  -0.11
O 0.2778 0.0262 0.8728  -0.11
O 0.9738 0.7222 0.3728  -0.11
O 0.7484 0.7222 0.8728  -0.11
O 0.9738 0.2516 0.6272  -0.11
O 0.9738 0.2516 0.8728  -0.11
O 0.4888 0.1053 0.2500  -0.04
O 0.8947 0.3835 0.2500  -0.04
O 0.4888 0.3835 0.7500  -0.04
O 0.6165 0.5112 0.2500  -0.04
O 0.8947 0.5112 0.7500  -0.04
O 0.6165 0.1053 0.7500  -0.04

Calculated values
formation energy from raw total energies: -1330 meV per atom

=====

5.
The following is a PBE calculation of Be3CuTc after structural relaxation, from Alexandria.

Cell: 4.1337 4.1337 4.1337 Å, 90.00 90.00 90.00°
Positions (direct):
Be 0.0000 0.5000 0.0000
Be 0.0000 0.0000 0.5000
Be 0.5000 0.0000 0.0000
Tc 0.0000 0.0000 0.0000
Cu 0.5000 0.5000 0.5000

Calculated values
calculated formation energy: 1.0935 eV per atom

=====

6.
The following is a PBE calculation of K2U2TeSe6 after structural relaxation, from Alexandria.

Cell: 7.7806 7.7806 7.9901 Å, 93.92 93.92 129.63°
Site moments in Bohr magnetons follow the coordinates.
Positions (direct):
K 0.8667 0.1333 0.0000  0.00
K 0.1333 0.8667 0.0000  0.00
U 0.3435 0.6565 0.5000  1.50
U 0.6565 0.3435 0.5000  1.50
Te 0.0000 0.0000 0.5000  -0.16
Se 0.6810 0.6810 0.7062  -0.06
Se 0.0329 0.4820 0.7180  -0.11
Se 0.3190 0.3190 0.2938  -0.06
Se 0.4820 0.0329 0.7180  -0.11
Se 0.9671 0.5180 0.2820  -0.11
Se 0.5180 0.9671 0.2820  -0.11

Calculated values
formation energy from raw total energies: -939 meV per atom

=====

7.
The following is a PBE calculation of PrNd2Ir after structural relaxation, from Alexandria.

Cell: 3.9697 6.4702 9.8246 Å, 90.00 90.00 107.90°
Positions (direct):
Pr 0.4197 0.8402 0.2500
Pr 0.5803 0.1598 0.7500
Nd 0.1412 0.2825 0.4321
Nd 0.8588 0.7175 0.5679
Nd 0.8588 0.7175 0.9321
Nd 0.1412 0.2825 0.0679
Ir 0.7390 0.4784 0.2500
Ir 0.2610 0.5216 0.7500

Calculated values
calculated formation energy: -0.4048 eV per atom

=====

8.
The following is a PBE calculation of LiGaCu4 after structural relaxation, from Alexandria.

Cell: 4.8769 4.8769 4.8769 Å, 60.00 60.00 60.00°
Positions (direct):
Cu 0.6251 0.6251 0.1246
Cu 0.6251 0.1246 0.6251
Cu 0.6251 0.6251 0.6251
Cu 0.1246 0.6251 0.6251
Ga 0.2500 0.2500 0.2500
Li 0.0000 0.0000 0.0000

Calculated values
calculated formation energy: -0.0416 eV per atom

=====

9.
The following is a PBE calculation of CsEuTa6Cl18 after structural relaxation, from Alexandria.

Cell: 9.5184 9.5184 17.6119 Å, 90.00 90.00 120.00°
Site moments in Bohr magnetons follow the coordinates.
Positions (direct):
Cs 0.3333 0.6667 0.7500  0.00
Cs 0.6667 0.3333 0.2500  0.00
Eu 0.6667 0.3333 0.7500  -6.72
Eu 0.3333 0.6667 0.2500  -6.72
Ta 0.8414 0.0336 0.5678  0.00
Ta 0.1586 0.9664 0.4322  0.00
Ta 0.9664 0.8079 0.5678  0.00
Ta 0.8414 0.8079 0.9322  0.00
Ta 0.0336 0.1921 0.4322  0.00
Ta 0.1586 0.1921 0.0678  0.00
Ta 0.1921 0.1586 0.5678  0.00
Ta 0.9664 0.1586 0.9322  0.00
Ta 0.8079 0.8414 0.4322  0.00
Ta 0.0336 0.8414 0.0678  0.00
Ta 0.1921 0.0336 0.9322  0.00
Ta 0.8079 0.9664 0.0678  0.00
Cl 0.6393 0.0711 0.6565  0.01
Cl 0.3607 0.9289 0.3435  0.01
Cl 0.9289 0.5682 0.6565  0.01
Cl 0.6393 0.5682 0.8435  0.01
Cl 0.0711 0.4318 0.3435  0.01
Cl 0.3607 0.4318 0.1565  0.01
Cl 0.4318 0.3607 0.6565  0.01
Cl 0.9289 0.3607 0.8435  0.01
Cl 0.5682 0.6393 0.3435  0.01
Cl 0.0711 0.6393 0.1565  0.01
Cl 0.4318 0.0711 0.8435  0.01
Cl 0.5682 0.9289 0.1565  0.01
Cl 0.0390 0.2259 0.6590  0.00
Cl 0.9610 0.7741 0.3410  0.00
Cl 0.7741 0.8130 0.6590  0.00
Cl 0.0390 0.8130 0.8410  0.00
Cl 0.2259 0.1870 0.3410  0.00
Cl 0.9610 0.1870 0.1590  0.00
Cl 0.1870 0.9610 0.6590  0.00
Cl 0.7741 0.9610 0.8410  0.00
Cl 0.8130 0.0390 0.3410  0.00
Cl 0.2259 0.0390 0.1590  0.00
Cl 0.1870 0.2259 0.8410  0.00
Cl 0.8130 0.7741 0.1590  0.00
Cl 0.2643 0.4117 0.5003  0.00
Cl 0.7357 0.5883 0.4997  0.00
Cl 0.5883 0.8526 0.5003  0.00
Cl 0.2643 0.8526 0.9997  0.00
Cl 0.4117 0.1474 0.4997  0.00
Cl 0.7357 0.1474 0.0003  0.00
Cl 0.1474 0.7357 0.5003  0.00
Cl 0.5883 0.7357 0.9997  0.00
Cl 0.8526 0.2643 0.4997  0.00
Cl 0.4117 0.2643 0.0003  0.00
Cl 0.1474 0.4117 0.9997  0.00
Cl 0.8526 0.5883 0.0003  0.00

Calculated values
formation energy from raw total energies: -1485 meV per atom

=====

10.
The following is a PBE calculation of AcLa4As5 after structural relaxation, from Alexandria.

Cell: 4.4141 6.2444 11.6721 Å, 105.51 100.90 90.00°
Positions (direct):
Ac 0.0000 0.0000 0.0000
La 0.3990 0.3990 0.7980
La 0.7986 0.7986 0.5972
La 0.2014 0.2014 0.4028
La 0.6010 0.6010 0.2020
As 0.6039 0.1039 0.2078
As 0.8005 0.3005 0.6011
As 0.1995 0.6995 0.3989
As 0.0000 0.5000 0.0000
As 0.3961 0.8961 0.7922

Calculated values
calculated formation energy: -1.5504 eV per atom

=====

11.
The following is a PBE calculation of Nd3Al3Hg2 after structural relaxation, from Alexandria.

Cell: 4.6683 6.0481 15.3766 Å, 90.00 90.00 112.70°
Positions (direct):
Nd 0.9108 0.8216 0.3882
Nd 0.0892 0.1784 0.8882
Nd 0.9108 0.8216 0.1118
Nd 0.0892 0.1784 0.6118
Nd 0.6382 0.2764 0.2500
Nd 0.3618 0.7236 0.7500
Al 0.6083 0.2166 0.4621
Al 0.3917 0.7834 0.9621
Al 0.6083 0.2166 0.0379
Al 0.3917 0.7834 0.5379
Al 0.3490 0.6979 0.2500
Al 0.6510 0.3021 0.7500
Hg 0.7954 0.5909 0.9003
Hg 0.2046 0.4091 0.4003
Hg 0.7954 0.5909 0.5997
Hg 0.2046 0.4091 0.0997

Calculated values
calculated formation energy: -0.4378 eV per atom

=====

12.
The following is a PBE calculation of Hf2ZrCd after structural relaxation, from Alexandria.

Cell: 5.5663 5.9491 6.3031 Å, 73.51 88.87 63.01°
Positions (direct):
Hf 0.4702 0.2475 0.5599
Hf 0.5298 0.7525 0.4401
Hf 0.4573 0.2442 0.0605
Hf 0.5427 0.7558 0.9395
Zr 0.9786 0.2373 0.8106
Zr 0.0214 0.7627 0.1894
Cd 0.9555 0.2558 0.3114
Cd 0.0445 0.7442 0.6886

Calculated values
calculated formation energy: -0.0082 eV per atom